Record 1
# EuYErAl

EuYErAl after structural relaxation (PBE-GGA, Alexandria via LeMat-Bulk).

Output
- Size of the total moment: 7.36 μB/f.u.
- SG: F-43m, No. 216

Cell and atoms, written as POSCAR:
```
EuYErAl
1.0
0.0000 3.8141 3.8141
3.8141 0.0000 3.8141
3.8141 3.8141 0.0000
Eu Y Er Al
1 1 1 1
Direct
0.0000 0.0000 0.0000
0.2500 0.2500 0.2500
0.7500 0.7500 0.7500
0.5000 0.5000 0.5000
```

=====

Record 2
# ErAlF

ErAlF after structural relaxation (PBE-GGA, Alexandria via LeMat-Bulk).

Output
- Uncorrected formation energy: -487 kJ/mol of formula units
- Size of the total moment: 0.00 μB/f.u.
- SG: P4/nmm, No. 129

Cell and atoms, written as POSCAR:
```
ErAlF
1.0
3.3270 0.0000 0.0000
0.0000 3.3270 0.0000
0.0000 0.0000 9.1116
Er Al F
2 2 2
Direct
0.2500 0.2500 0.1927
0.7500 0.7500 0.8073
0.2500 0.2500 0.5831
0.7500 0.7500 0.4169
0.2500 0.2500 0.9356
0.7500 0.7500 0.0644
```

=====

| no. | E_tot (eV/f.u.) |
| --- | --- |
| 1 | -25.1 |
| 2 | -15.2 |